# 1
## DyTl2InBr6 (GGA-PBE)

Data for a relaxed structure of DyTl2InBr6.

The space group is R3 (No. 146, hexagonal axes) and the conventional cell measures 8.1461, 8.1461 and 20.8922 Å, with angles of 90.00, 90.00 and 120.00 degrees. The asymmetric unit holds Dy at (0.0000, 0.0000, 0.0000), Tl at (0.0000, 0.0000, 0.3039), Tl at (0.0000, 0.0000, 0.7937), In at (0.0000, 0.0000, 0.5092), Br at (0.0225, 0.4058, 0.7391) and Br at (0.0741, 0.6939, 0.5824).

---

# 2
## DyTlIn2Br6 (GGA-PBE)

Data for a relaxed structure of DyTlIn2Br6.

The space group is R3 (No. 146, hexagonal axes) and the conventional cell measures 8.1295, 8.1295 and 20.9788 Å, with angles of 90.00, 90.00 and 120.00 degrees. The asymmetric unit holds Dy at (0.0000, 0.0000, 0.0000), Tl at (0.0000, 0.0000, 0.4908), In at (0.0000, 0.0000, 0.2014), In at (0.0000, 0.0000, 0.6928), Br at (0.0147, 0.7350, 0.0852) and Br at (0.0663, 0.3562, 0.5957).

---

# 3
## Dy3IrBr3 (GGA-PBE)

Data for a relaxed structure of Dy3IrBr3.

The space group is P2_1/m (No. 11) and the conventional cell measures 8.560, 4.140 and 11.874 Å, with angles of 90.00, 91.03 and 90.00 degrees. The asymmetric unit holds Dy at (0.097, 0.250, 0.325), Dy at (0.151, 0.250, 0.862), Dy at (0.263, 0.750, 0.098), Ir at (0.051, 0.250, 0.096), Br at (0.131, 0.250, 0.600), Br at (0.333, 0.750, 0.353) and Br at (0.436, 0.750, 0.870).

---

# 4
## LaDyIrBr (GGA-PBE)

Data for a relaxed structure of LaDyIrBr.

The space group is R3m (No. 160, hexagonal axes) and the conventional cell measures 4.1165, 4.1165 and 23.5415 Å, with angles of 90.00, 90.00 and 120.00 degrees. The asymmetric unit holds La at (0.0000, 0.0000, 0.0000), Dy at (0.0000, 0.0000, 0.7938), Ir at (0.0000, 0.0000, 0.3995) and Br at (0.0000, 0.0000, 0.2249).

---

# 5
## SmDyIrBr (GGA-PBE)

Data for a relaxed structure of SmDyIrBr.

The space group is R3m (No. 160, hexagonal axes) and the conventional cell measures 4.0837, 4.0837 and 23.1604 Å, with angles of 90.00, 90.00 and 120.00 degrees. The asymmetric unit holds Sm at (0.0000, 0.0000, 0.0000), Dy at (0.0000, 0.0000, 0.2067), Ir at (0.0000, 0.0000, 0.6016) and Br at (0.0000, 0.0000, 0.7737).

---

# 6
## KDy2Br7 (GGA-PBE)

Data for a relaxed structure of KDy2Br7.

The space group is Cmmm (No. 65) and the conventional cell measures 9.016, 14.458 and 5.584 Å, with angles of 90.00, 90.00 and 90.00 degrees. The asymmetric unit holds K at (0.000, 0.000, 0.000), Dy at (0.000, 0.302, 0.500), Br at (0.000, 0.295, 0.000), Br at (0.000, 0.500, 0.500) and Br at (0.188, 0.139, 0.500).

---

# 7
## KDyBr4 (GGA-PBE)

Data for a relaxed structure of KDyBr4.

The space group is Cmmm (No. 65) and the conventional cell measures 10.252, 10.760 and 4.345 Å, with angles of 90.00, 90.00 and 90.00 degrees. The asymmetric unit holds K at (0.000, 0.000, 0.000), Dy at (0.000, 0.500, 0.500), Br at (0.000, 0.325, 0.000) and Br at (0.232, 0.000, 0.500).

---

# 8
## KDyBr4 (GGA-PBE)

Data for a relaxed structure of KDyBr4.

The space group is C2/m (No. 12) and the conventional cell measures 13.728, 4.285 and 8.379 Å, with angles of 90.00, 102.94 and 90.00 degrees. The asymmetric unit holds K at (0.000, 0.000, 0.000), Dy at (0.000, 0.500, 0.500), Br at (0.116, 0.500, 0.815) and Br at (0.117, 0.000, 0.411).

---

We obtain total energy values of -3.448, -3.441, -5.355, -6.167, -6.052, -3.997, -3.880, -3.889 eV per atom for the records listed above, in that order.
We obtain formation energy without anion corrections values of -1237, -1193, -1400, -1151, -1089, -1796, -1814, -1824 meV/atom for the records listed above, in that order.